# 1
VASP calculation (PBE) on a relaxed structure of Er3TmCd.

Properties
- E_tot (eV/f.u.) = -19.6
- polymorph energy (0 for the lowest one) (meV/atom) = 0
- ΔH_f (0 K) (eV per atom) = -0.1064
- spin magnetization (μB/atom) = 0.05
- symmetry = C2/m, No. 12

Cell lengths 6.635, 6.635, 12.542 Å; angles 94.12, 94.12, 31.36 degrees
Fractional positions:
Er  0.034  0.034  0.189
Er  0.146  0.146  0.444
Er  0.365  0.365  0.020
Er  0.635  0.635  0.980
Er  0.854  0.854  0.556
Er  0.966  0.966  0.811
Tm  0.233  0.233  0.757
Tm  0.767  0.767  0.243
Cd  0.438  0.438  0.373
Cd  0.562  0.562  0.627


# 2
VASP calculation (PBE) on a relaxed structure of Er4TmCd.

Properties
- E_tot (eV/f.u.) = -23.8
- polymorph energy (0 for the lowest one) (meV/atom) = 67
- ΔH_f (0 K) (eV per atom) = -0.0199
- spin magnetization (μB/atom) = 0.00
- symmetry = C2/c, No. 15

Cell lengths 5.976, 5.976, 11.607 Å; angles 105.06, 105.06, 60.33 degrees
Fractional positions:
Er  0.162  0.677  0.501
Er  0.253  0.411  0.750
Er  0.323  0.838  0.999
Er  0.411  0.253  0.250
Er  0.589  0.747  0.750
Er  0.677  0.162  0.001
Er  0.747  0.589  0.250
Er  0.838  0.323  0.499
Tm  0.000  0.500  0.000
Tm  0.500  0.000  0.500
Cd  0.084  0.916  0.250
Cd  0.916  0.084  0.750


# 3
VASP calculation (PBE) on a relaxed structure of Er3Tm2Cd6.

Properties
- E_tot (eV/f.u.) = -26.8
- ΔH_f (0 K) (eV per atom) = 0.1227
- spin magnetization (μB/atom) = 0.00
- symmetry = I4/mmm, No. 139

Cell lengths 14.176, 14.176, 14.176 Å; angles 159.98, 159.98, 28.46 degrees
Fractional positions:
Er  0.000  0.000  0.000
Er  0.138  0.138  0.000
Er  0.862  0.862  0.000
Tm  0.366  0.366  0.000
Tm  0.634  0.634  0.000
Cd  0.066  0.566  0.500
Cd  0.253  0.253  0.000
Cd  0.434  0.934  0.500
Cd  0.566  0.066  0.500
Cd  0.747  0.747  0.000
Cd  0.934  0.434  0.500


# 4
VASP calculation (PBE) on a relaxed structure of Er2Tm3Cd.

Properties
- E_tot (eV/f.u.) = -24.0
- polymorph energy (0 for the lowest one) (meV/atom) = 0
- ΔH_f (0 K) (eV per atom) = -0.0876
- spin magnetization (μB/atom) = 0.00
- symmetry = P4/mmm, No. 123

Cell lengths 3.504, 3.504, 14.040 Å; angles 90.00, 90.00, 90.00 degrees
Fractional positions:
Er  0.000  0.000  0.176
Er  0.000  0.000  0.824
Tm  0.500  0.500  0.000
Tm  0.500  0.500  0.352
Tm  0.500  0.500  0.648
Cd  0.000  0.000  0.500


# 5
VASP calculation (PBE) on a relaxed structure of Er6Tm12Cd.

Properties
- E_tot (eV/f.u.) = -79.8
- ΔH_f (0 K) (eV per atom) = 0.1149
- spin magnetization (μB/atom) = 0.00
- symmetry = R-3, No. 148

Cell lengths 8.328, 8.328, 8.328 Å; angles 88.84, 88.84, 88.84 degrees
Fractional positions:
Er  0.210  0.597  0.762
Er  0.238  0.790  0.403
Er  0.403  0.238  0.790
Er  0.597  0.762  0.210
Er  0.762  0.210  0.597
Er  0.790  0.403  0.238
Tm  0.037  0.281  0.936
Tm  0.064  0.963  0.719
Tm  0.136  0.322  0.485
Tm  0.281  0.936  0.037
Tm  0.322  0.485  0.136
Tm  0.485  0.136  0.322
Tm  0.515  0.864  0.678
Tm  0.678  0.515  0.864
Tm  0.719  0.064  0.963
Tm  0.864  0.678  0.515
Tm  0.936  0.037  0.281
Tm  0.963  0.719  0.064
Cd  0.500  0.500  0.500


# 6
VASP calculation (PBE) on a relaxed structure of Er4TmCd3.

Properties
- E_tot (eV/f.u.) = -26.8
- ΔH_f (0 K) (eV per atom) = -0.1698
- spin magnetization (μB/atom) = 0.00
- symmetry = R-3m, No. 166

Cell lengths 9.379, 9.379, 9.379 Å; angles 32.79, 32.79, 32.79 degrees
Fractional positions:
Er  0.115  0.115  0.115
Er  0.371  0.371  0.371
Er  0.629  0.629  0.629
Er  0.885  0.885  0.885
Tm  0.500  0.500  0.500
Cd  0.000  0.000  0.000
Cd  0.240  0.240  0.240
Cd  0.760  0.760  0.760